1.
Compound: LaPr6Y2Ho
Source: Alexandria via LeMat-Bulk
Functional: PBE
Structure: relaxed

Unit cell a=9.7814 b=9.0564 c=9.0564 alpha=117.23 beta=93.89 gamma=93.89
Last column: nearest neighbours and their distance in Å.
Fractional positions:
Y (0.0481, 0.2887, 0.1952)  6 Pr 3.39-3.79, 2 Ho 3.44-3.47, 1 La 3.64
Y (0.4519, 0.8048, 0.7113)  6 Pr 3.39-3.79, 2 Ho 3.44-3.47, 1 La 3.64
Y (0.5481, 0.1952, 0.2887)  6 Pr 3.39-3.79, 2 Ho 3.44-3.47, 1 La 3.64
Y (0.9519, 0.7113, 0.8048)  6 Pr 3.39-3.79, 2 Ho 3.44-3.47, 1 La 3.64
Pr (0.9432, 0.8910, 0.2374)  7 Pr 3.49-3.85, 2 Y 3.50-3.87, 2 Ho 3.72-3.81
Pr (0.8153, 0.4341, 0.9850)  2 Pr 3.31-3.68, 1 La 3.53, 1 Y 3.56, 1 Ho 3.57
Pr (0.6187, 0.4862, 0.7045)  3 Pr 3.31-3.49, 3 Y 3.39-3.55, 2 La 3.55-3.61
Pr (0.0568, 0.1090, 0.7626)  7 Pr 3.49-3.85, 2 Y 3.50-3.87, 2 Ho 3.72-3.81
Pr (0.1187, 0.7045, 0.4862)  3 Pr 3.31-3.49, 3 Y 3.39-3.55, 2 La 3.55-3.61
Pr (0.5568, 0.7626, 0.1090)  7 Pr 3.49-3.85, 2 Y 3.50-3.87, 2 Ho 3.72-3.81
Pr (0.3153, 0.9850, 0.4341)  2 Pr 3.31-3.68, 1 La 3.53, 1 Y 3.56, 1 Ho 3.57
Pr (0.8813, 0.2955, 0.5138)  3 Pr 3.31-3.49, 3 Y 3.39-3.55, 2 La 3.55-3.61
Pr (0.4432, 0.2374, 0.8910)  7 Pr 3.49-3.85, 2 Y 3.50-3.87, 2 Ho 3.72-3.81
Pr (0.6847, 0.0150, 0.5659)  2 Pr 3.31-3.68, 1 La 3.53, 1 Y 3.56, 1 Ho 3.57
Pr (0.3813, 0.5138, 0.2955)  3 Pr 3.31-3.49, 3 Y 3.39-3.55, 2 La 3.55-3.61
Pr (0.1847, 0.5659, 0.0150)  2 Pr 3.31-3.68, 1 La 3.53, 1 Y 3.56, 1 Ho 3.57
Ho (0.2500, 0.9669, 0.0331)  4 Y 3.44-3.47, 6 Pr 3.57-3.81
Ho (0.7500, 0.0331, 0.9669)  4 Y 3.44-3.47, 6 Pr 3.57-3.81
La (0.2500, 0.4064, 0.5936)  6 Pr 3.53-3.61, 2 Y 3.64
La (0.7500, 0.5936, 0.4064)  6 Pr 3.53-3.61, 2 Y 3.64

Symmetry   No. 15

---

2.
Compound: La2Pr5YHo
Source: Alexandria via LeMat-Bulk
Functional: PBE
Structure: relaxed

Unit cell a=8.6733 b=8.6733 c=10.5159 alpha=114.36 beta=114.36 gamma=90.00
Last column: nearest neighbours and their distance in Å.
Fractional positions:
La (0.3770, 0.8770, 0.0000)  1 La 3.02, 2 Pr 3.11
La (0.8770, 0.6230, 0.0000)  1 La 3.02, 2 Pr 3.11
La (0.1230, 0.3770, 0.0000)  1 La 3.02, 2 Pr 3.11
La (0.6230, 0.1230, 0.0000)  1 La 3.02, 2 Pr 3.11
Y (0.7500, 0.2500, 0.5000)  4 Pr 3.27
Y (0.2500, 0.7500, 0.5000)  4 Pr 3.27
Pr (0.0000, 0.0000, 0.0000)  4 La 3.44
Pr (0.9217, 0.4217, 0.2899)  1 La 3.11, 1 Y 3.27
Pr (0.3682, 0.8682, 0.2899)  1 La 3.11, 1 Y 3.27
Pr (0.1318, 0.0783, 0.7101)  1 La 3.11, 1 Y 3.27
Pr (0.0783, 0.5783, 0.7101)  1 La 3.11, 1 Y 3.27
Pr (0.8682, 0.9217, 0.2899)  1 La 3.11, 1 Y 3.27
Pr (0.5783, 0.6318, 0.7101)  1 La 3.11, 1 Y 3.27
Pr (0.6318, 0.1318, 0.7101)  1 La 3.11, 1 Y 3.27
Pr (0.5000, 0.5000, 0.0000)  4 La 3.44
Pr (0.4217, 0.3682, 0.2899)  1 La 3.11, 1 Y 3.27
Ho (0.2500, 0.2500, 0.5000)  8 Pr 3.57
Ho (0.7500, 0.7500, 0.5000)  8 Pr 3.57

Symmetry   No. 140

---

3.
Compound: LaPrY2Ho
Source: Alexandria via LeMat-Bulk
Functional: PBE
Structure: relaxed

Unit cell a=6.4765 b=9.1047 c=6.3670 alpha=107.70 beta=90.00 gamma=90.00
Last column: nearest neighbours and their distance in Å.
Fractional positions:
Pr (0.8351, 0.5000, 0.2500)  8 Y 3.58-3.74, 2 Pr 3.83
Pr (0.1649, 0.5000, 0.7500)  8 Y 3.58-3.74, 2 Pr 3.83
Y (0.3306, 0.3159, 0.1659)  1 Y 3.19, 2 Ho 3.31-3.41, 1 La 3.48
Y (0.3306, 0.6841, 0.3341)  1 Y 3.19, 2 Ho 3.31-3.41, 1 La 3.48
Y (0.6694, 0.6841, 0.8341)  1 Y 3.19, 2 Ho 3.31-3.41, 1 La 3.48
Y (0.6694, 0.3159, 0.6659)  1 Y 3.19, 2 Ho 3.31-3.41, 1 La 3.48
La (0.0000, 0.0000, 0.5000)  2 La 3.18, 2 Y 3.48, 2 Ho 3.50
La (0.0000, 0.0000, 0.0000)  2 La 3.18, 2 Y 3.48, 2 Ho 3.50
Ho (0.4818, 0.0000, 0.7500)  2 Ho 3.19, 4 Y 3.31-3.41, 2 La 3.50
Ho (0.5182, 0.0000, 0.2500)  2 Ho 3.19, 4 Y 3.31-3.41, 2 La 3.50

Symmetry   No. 13

---

4.
Compound: LaPr3Y2Ho6
Source: Alexandria via LeMat-Bulk
Functional: PBE
Structure: relaxed

Unit cell a=6.2432 b=6.2432 c=11.8819 alpha=95.01 beta=95.01 gamma=119.99
Last column: nearest neighbours and their distance in Å.
Fractional positions:
Y (0.3333, 0.6667, 0.0000)  6 Ho 3.58, 3 La 3.60-3.61, 3 Y 3.60-3.61
Y (0.6667, 0.3333, 0.0000)  6 Ho 3.58, 3 La 3.60-3.61, 3 Y 3.60-3.61
La (0.0000, 0.0000, 0.0000)  6 Ho 3.58, 6 Y 3.60-3.61
Ho (0.4172, 0.0834, 0.2488)  2 Y 3.58, 1 La 3.58, 3 Pr 3.60, 6 Ho 3.60-3.61
Ho (0.7493, 0.7493, 0.2491)  2 Y 3.58, 1 La 3.58, 3 Pr 3.60, 6 Ho 3.60-3.61
Ho (0.5828, 0.9166, 0.7512)  2 Y 3.58, 1 La 3.58, 3 Pr 3.60, 6 Ho 3.60-3.61
Ho (0.0834, 0.4172, 0.2488)  2 Y 3.58, 1 La 3.58, 3 Pr 3.60, 6 Ho 3.60-3.61
Ho (0.2507, 0.2507, 0.7509)  2 Y 3.58, 1 La 3.58, 3 Pr 3.60, 6 Ho 3.60-3.61
Ho (0.9166, 0.5828, 0.7512)  2 Y 3.58, 1 La 3.58, 3 Pr 3.60, 6 Ho 3.60-3.61
Pr (0.1671, 0.8329, 0.5000)  6 Ho 3.60, 6 Pr 3.60-3.61
Pr (0.8329, 0.1671, 0.5000)  6 Ho 3.60, 6 Pr 3.60-3.61
Pr (0.5000, 0.5000, 0.5000)  6 Ho 3.60, 6 Pr 3.60-3.61

Symmetry   No. 12

---

Short version: calculated total energy = -5.00; -4.74; -5.17; -4.95 eV/atom, in the order given.